Computed, not measured: a geometry-optimized AcEuPb4 structure at the PBE level of DFT.

Lattice parameters (Å, degrees): 6.593 6.593 6.593 60.00 60.00 60.00
Last column: magnetic moment on the atom in μB.
Element x y z (fractional)
Pb 0.125 0.625 0.625  0.01
Ac 0.000 0.000 0.000  0.09
Pb 0.625 0.125 0.625  0.01
Pb 0.625 0.625 0.125  0.01
Eu 0.250 0.250 0.250  6.95
Pb 0.625 0.625 0.625  0.01

## Properties
ΔH_f (0 K) ... -190 kJ/mol of formula units
Calculated volume ... 33.780 Å³ per atom

Computed, not measured: a geometry-optimized AcEuPdPb structure at the PBE level of DFT.

Lattice parameters (Å, degrees): 5.553 5.553 5.553 60.00 60.00 60.00
Last column: magnetic moment on the atom in μB.
Element x y z (fractional)
Pb 0.500 0.500 0.500  -0.03
Ac 0.750 0.750 0.750  -0.01
Pd 0.000 0.000 0.000  -0.03
Eu 0.250 0.250 0.250  6.81

## Properties
ΔH_f (0 K) ... -209 kJ/mol of formula units
Calculated volume ... 30.277 Å³ per atom

Computed, not measured: a geometry-optimized AcPmEuPb structure at the PBE level of DFT.

Lattice parameters (Å, degrees): 5.783 5.783 5.783 60.00 60.00 60.00
Last column: magnetic moment on the atom in μB.
Element x y z (fractional)
Eu 0.500 0.500 0.500  6.95
Pm 0.000 0.000 0.000  0.25
Ac 0.750 0.750 0.750  0.24
Pb 0.250 0.250 0.250  -0.02

## Properties
ΔH_f (0 K) ... -37 kJ/mol of formula units
Calculated volume ... 34.191 Å³ per atom

Computed, not measured: a geometry-optimized AcEuPtPb structure at the PBE level of DFT.

Lattice parameters (Å, degrees): 5.508 5.508 5.508 60.00 60.00 60.00
Last column: magnetic moment on the atom in μB.
Element x y z (fractional)
Eu 0.000 0.000 0.000  6.79
Ac 0.500 0.500 0.500  -0.01
Pb 0.250 0.250 0.250  -0.03
Pt 0.750 0.750 0.750  -0.05

## Properties
ΔH_f (0 K) ... -244 kJ/mol of formula units
Calculated volume ... 29.541 Å³ per atom

Computed, not measured: a geometry-optimized AcEuRhPb structure at the PBE level of DFT.

Lattice parameters (Å, degrees): 5.258 5.258 5.258 60.00 60.00 60.00
Last column: magnetic moment on the atom in μB.
Element x y z (fractional)
Eu 0.250 0.250 0.250  6.90
Pb 0.000 0.000 0.000  -0.02
Rh 0.750 0.750 0.750  -0.10
Ac 0.500 0.500 0.500  0.05

## Properties
ΔH_f (0 K) ... -133 kJ/mol of formula units
Calculated volume ... 25.690 Å³ per atom

Computed, not measured: a geometry-optimized AcEuSbPb structure at the PBE level of DFT.

Lattice parameters (Å, degrees): 5.748 5.748 5.748 60.00 60.00 60.00
Last column: magnetic moment on the atom in μB.
Element x y z (fractional)
Pb 0.500 0.500 0.500  -0.01
Ac 0.750 0.750 0.750  0.01
Eu 0.250 0.250 0.250  6.84
Sb 0.000 0.000 0.000  -0.01

## Properties
ΔE_f (raw) ... -0.64 eV per atom
Calculated volume ... 33.573 Å³ per atom

Computed, not measured: a geometry-optimized AcEuScPb structure at the PBE level of DFT.

Lattice parameters (Å, degrees): 5.620 5.620 5.620 60.00 60.00 60.00
Last column: magnetic moment on the atom in μB.
Element x y z (fractional)
Ac 0.250 0.250 0.250  -0.38
Eu 0.500 0.500 0.500  -7.01
Sc 0.000 0.000 0.000  -0.57
Pb 0.750 0.750 0.750  0.03

## Properties
ΔH_f (0 K) ... -14 kJ/mol of formula units
Calculated volume ... 31.373 Å³ per atom

Computed, not measured: a geometry-optimized AcEuSnPb structure at the PBE level of DFT.

Lattice parameters (Å, degrees): 5.740 5.740 5.740 60.00 60.00 60.00
Last column: magnetic moment on the atom in μB.
Element x y z (fractional)
Ac 0.500 0.500 0.500  0.03
Pb 0.750 0.750 0.750  0.00
Eu 0.000 0.000 0.000  6.87
Sn 0.250 0.250 0.250  0.00

## Properties
ΔH_f (0 K) ... -209 kJ/mol of formula units
Calculated volume ... 33.429 Å³ per atom

Computed, not measured: a geometry-optimized SrAcEuPb structure at the PBE level of DFT.

Lattice parameters (Å, degrees): 5.993 5.993 5.993 60.00 60.00 60.00
Last column: magnetic moment on the atom in μB.
Element x y z (fractional)
Sr 0.250 0.250 0.250  0.11
Pb 0.500 0.500 0.500  -0.02
Ac 0.000 0.000 0.000  0.37
Eu 0.750 0.750 0.750  7.03

## Properties
ΔH_f (0 K) ... -20 kJ/mol of formula units
Calculated volume ... 38.049 Å³ per atom

Computed, not measured: a geometry-optimized AcEuTlPb structure at the PBE level of DFT.

Lattice parameters (Å, degrees): 5.769 5.769 5.769 60.00 60.00 60.00
Last column: magnetic moment on the atom in μB.
Element x y z (fractional)
Ac 0.750 0.750 0.750  0.04
Tl 0.500 0.500 0.500  0.00
Pb 0.000 0.000 0.000  -0.02
Eu 0.250 0.250 0.250  6.89

## Properties
ΔH_f (0 K) ... -175 kJ/mol of formula units
Calculated volume ... 33.941 Å³ per atom

Computed, not measured: a geometry-optimized Ac3EuPd structure at the PBE level of DFT.

Lattice parameters (Å, degrees): 6.024 6.024 6.024 90.00 90.00 90.00
Last column: magnetic moment on the atom in μB.
Element x y z (fractional)
Ac 0.000 0.000 0.500  0.11
Eu 0.500 0.500 0.500  7.00
Ac 0.000 0.500 0.000  0.11
Pd 0.000 0.000 0.000  0.05
Ac 0.500 0.000 0.000  0.11

## Properties
ΔH_f (0 K) ... -100 kJ/mol of formula units
Calculated volume ... 43.720 Å³ per atom

Computed, not measured: a geometry-optimized AcEuPd4 structure at the PBE level of DFT.

Lattice parameters (Å, degrees): 5.608 5.608 5.608 60.00 60.00 60.00
Last column: magnetic moment on the atom in μB.
Element x y z (fractional)
Ac 0.250 0.250 0.250  0.05
Eu 0.000 0.000 0.000  6.82
Pd 0.625 0.625 0.124  -0.01
Pd 0.625 0.625 0.625  -0.01
Pd 0.625 0.124 0.625  -0.01
Pd 0.124 0.625 0.625  -0.01

## Properties
ΔH_f (0 K) ... -431 kJ/mol of formula units
Calculated volume ... 20.785 Å³ per atom

Copy entry 7 word for word.
Computed, not measured: a geometry-optimized AcEuScPb structure at the PBE level of DFT.

Lattice parameters (Å, degrees): 5.620 5.620 5.620 60.00 60.00 60.00
Last column: magnetic moment on the atom in μB.
Element x y z (fractional)
Ac 0.250 0.250 0.250  -0.38
Eu 0.500 0.500 0.500  -7.01
Sc 0.000 0.000 0.000  -0.57
Pb 0.750 0.750 0.750  0.03

## Properties
ΔH_f (0 K) ... -14 kJ/mol of formula units
Calculated volume ... 31.373 Å³ per atom

Q: Number 8 is which compound?
A: AcEuSnPb

Q: Which formula does entry 4 have?
A: AcEuPtPb

Repeat the fourth record exactly.
Computed, not measured: a geometry-optimized AcEuPtPb structure at the PBE level of DFT.

Lattice parameters (Å, degrees): 5.508 5.508 5.508 60.00 60.00 60.00
Last column: magnetic moment on the atom in μB.
Element x y z (fractional)
Eu 0.000 0.000 0.000  6.79
Ac 0.500 0.500 0.500  -0.01
Pb 0.250 0.250 0.250  -0.03
Pt 0.750 0.750 0.750  -0.05

## Properties
ΔH_f (0 K) ... -244 kJ/mol of formula units
Calculated volume ... 29.541 Å³ per atom